Entry from the Alexandria database: an optimized crystal structure of Sr2BeW (GGA-PBE).

abc: 10.607 10.607 10.607
angles: 17.84 17.84 17.84
Sites, in units of the cell vectors:
Sr 0.002 0.002 0.002
Sr 0.498 0.498 0.498
W 0.250 0.250 0.250
Be 0.750 0.750 0.750

E_form	1383.6	meV per atom
SG	R-3m (166)